(w)
A geometry-optimized Na2Hg8Bi structure, computed with PBE-GGA.

```
data_Na2Hg8Bi
_chemical_formula_sum 'Na4 Hg16 Bi2'
_cell_length_a 9.179
_cell_length_b 13.908
_cell_length_c 6.537
_cell_angle_alpha 90.00
_cell_angle_beta 132.09
_cell_angle_gamma 90.00
_symmetry_space_group_name_H-M 'C 1 2/m 1'
_symmetry_Int_Tables_number 12
loop_
_symmetry_equiv_pos_as_xyz
'x,y,z'
'-x,-y,-z'
'-x,y,-z'
'x,-y,z'
'x+1/2,y+1/2,z'
'-x+1/2,-y+1/2,-z'
'-x+1/2,y+1/2,-z'
'x+1/2,-y+1/2,z'
loop_
_atom_site_label
_atom_site_fract_x
_atom_site_fract_y
_atom_site_fract_z
Na1 0.000 0.173 0.000
Hg1 0.000 0.240 0.500
Hg2 0.139 0.381 0.957
Hg3 0.211 0.500 0.597
Bi1 0.000 0.000 0.500
```

Results
calculated density = 10.0 g/cm3

***

(x)
A geometry-optimized Na2Hg8Bi structure, computed with PBE-GGA.

```
data_Na2Hg8Bi
_chemical_formula_sum 'Na2 Hg8 Bi1'
_cell_length_a 5.058
_cell_length_b 5.058
_cell_length_c 11.933
_cell_angle_alpha 90.00
_cell_angle_beta 90.00
_cell_angle_gamma 90.00
_symmetry_space_group_name_H-M 'P 4/m m m'
_symmetry_Int_Tables_number 123
_symmetry_space_group_name_Hall '-P 4 2'
loop_
_atom_site_label
_atom_site_fract_x
_atom_site_fract_y
_atom_site_fract_z
Na1 0.000 0.000 0.173
Hg1 0.000 0.500 0.000
Hg2 0.000 0.500 0.343
Hg3 0.500 0.500 0.181
Bi1 0.000 0.000 0.500
```

Results
calculated density = 10.1 g/cm3

***

Ordering by calculated energy gives the sequence (x), (w), with the first entry being the most stable.

***

(w)
A geometry-optimized Na12Hg6Bi structure, computed with PBE-GGA.

```
data_Na12Hg6Bi
_chemical_formula_sum 'Na36 Hg18 Bi3'
_cell_length_a 14.6756
_cell_length_b 14.6756
_cell_length_c 8.3948
_cell_angle_alpha 90.00
_cell_angle_beta 90.00
_cell_angle_gamma 120.00
_symmetry_space_group_name_H-M 'R -3'
_symmetry_Int_Tables_number 148
_symmetry_space_group_name_Hall '-R 3'
loop_
_atom_site_label
_atom_site_fract_x
_atom_site_fract_y
_atom_site_fract_z
Na1 0.0065 0.8663 0.1653
Na2 0.0680 0.5084 0.1801
Hg1 0.0239 0.7450 0.8283
Bi1 0.0000 0.0000 0.5000
```

Results
calculated density = 5.4 g/cm3

***

(x)
A geometry-optimized Na12Hg6Bi structure, computed with PBE-GGA.

```
data_Na12Hg6Bi
_chemical_formula_sum 'Na36 Hg18 Bi3'
_cell_length_a 11.5229
_cell_length_b 11.5229
_cell_length_c 14.3617
_cell_angle_alpha 90.00
_cell_angle_beta 90.00
_cell_angle_gamma 120.00
_symmetry_space_group_name_H-M 'R -3'
_symmetry_Int_Tables_number 148
_symmetry_space_group_name_Hall '-R 3'
loop_
_atom_site_label
_atom_site_fract_x
_atom_site_fract_y
_atom_site_fract_z
Na1 0.0324 0.8407 0.3233
Na2 0.0554 0.2150 0.9101
Hg1 0.0179 0.5917 0.2113
Bi1 0.0000 0.0000 0.5000
```

Results
calculated density = 5.1 g/cm3

***

Ordering by calculated energy gives the sequence (w), (x), with the first entry being the most stable.

***

(w)
A geometry-optimized Na3HgBi2 structure, computed with PBE-GGA.

```
data_Na3HgBi2
_chemical_formula_sum 'Na12 Hg4 Bi8'
_cell_length_a 19.500
_cell_length_b 3.573
_cell_length_c 11.132
_cell_angle_alpha 90.00
_cell_angle_beta 107.54
_cell_angle_gamma 90.00
_symmetry_space_group_name_H-M 'C 1 2/m 1'
_symmetry_Int_Tables_number 12
loop_
_symmetry_equiv_pos_as_xyz
'x,y,z'
'-x,-y,-z'
'-x,y,-z'
'x,-y,z'
'x+1/2,y+1/2,z'
'-x+1/2,-y+1/2,-z'
'-x+1/2,y+1/2,-z'
'x+1/2,-y+1/2,z'
loop_
_atom_site_label
_atom_site_fract_x
_atom_site_fract_y
_atom_site_fract_z
Na1 0.012 0.000 0.317
Na2 0.143 0.500 0.603
Na3 0.213 0.000 0.108
Hg1 0.070 0.500 0.127
Bi1 0.112 0.500 0.870
Bi2 0.186 0.000 0.384
```

Results
calculated density = 6.2 g/cm3

***

(x)
A geometry-optimized Na3HgBi2 structure, computed with PBE-GGA.

```
data_Na3HgBi2
_chemical_formula_sum 'Na12 Hg4 Bi8'
_cell_length_a 7.220
_cell_length_b 9.078
_cell_length_c 11.264
_cell_angle_alpha 90.00
_cell_angle_beta 109.90
_cell_angle_gamma 90.00
_symmetry_space_group_name_H-M 'P 1 21/c 1'
_symmetry_Int_Tables_number 14
loop_
_symmetry_equiv_pos_as_xyz
'x,y,z'
'-x,-y,-z'
'-x,y+1/2,-z+1/2'
'x,-y+1/2,z+1/2'
loop_
_atom_site_label
_atom_site_fract_x
_atom_site_fract_y
_atom_site_fract_z
Na1 0.075 0.099 0.396
Na2 0.199 0.571 0.652
Na3 0.302 0.060 0.850
Hg1 0.429 0.615 0.099
Bi1 0.054 0.748 0.380
Bi2 0.427 0.245 0.627
```

Results
calculated density = 6.6 g/cm3

***

Ordering by calculated energy gives the sequence (x), (w), with the first entry being the most stable.

***

(w)
A geometry-optimized NaHgBi4 structure, computed with PBE-GGA.

```
data_NaHgBi4
_chemical_formula_sum 'Na4 Hg4 Bi16'
_cell_length_a 6.825
_cell_length_b 19.729
_cell_length_c 5.620
_cell_angle_alpha 90.00
_cell_angle_beta 90.00
_cell_angle_gamma 90.00
_symmetry_space_group_name_H-M 'C m c m'
_symmetry_Int_Tables_number 63
_symmetry_space_group_name_Hall '-C 2c 2'
loop_
_atom_site_label
_atom_site_fract_x
_atom_site_fract_y
_atom_site_fract_z
Na1 0.000 0.123 0.250
Hg1 0.000 0.373 0.750
Bi1 0.232 0.291 0.250
Bi2 0.243 0.459 0.250
```

Results
calculated density = 9.3 g/cm3

***

(x)
A geometry-optimized NaHgBi4 structure, computed with PBE-GGA.

```
data_NaHgBi4
_chemical_formula_sum 'Na4 Hg4 Bi16'
_cell_length_a 9.400
_cell_length_b 9.400
_cell_length_c 9.400
_cell_angle_alpha 90.00
_cell_angle_beta 90.00
_cell_angle_gamma 90.00
_symmetry_space_group_name_H-M 'F -4 3 m'
_symmetry_Int_Tables_number 216
_symmetry_space_group_name_Hall 'F -4 2 3'
loop_
_atom_site_label
_atom_site_fract_x
_atom_site_fract_y
_atom_site_fract_z
Na1 0.000 0.000 0.000
Hg1 0.250 0.250 0.750
Bi1 0.123 0.123 0.377
```

Results
calculated density = 8.5 g/cm3

***

Ordering by calculated energy gives the sequence (w), (x), with the first entry being the most stable.

***

(w)
A geometry-optimized Na6Hg3Bi structure, computed with PBE-GGA.

```
data_Na6Hg3Bi
_chemical_formula_sum 'Na36 Hg18 Bi6'
_cell_length_a 12.4369
_cell_length_b 12.4369
_cell_length_c 14.5601
_cell_angle_alpha 90.00
_cell_angle_beta 90.00
_cell_angle_gamma 120.00
_symmetry_space_group_name_H-M 'R -3'
_symmetry_Int_Tables_number 148
_symmetry_space_group_name_Hall '-R 3'
loop_
_atom_site_label
_atom_site_fract_x
_atom_site_fract_y
_atom_site_fract_z
Na1 0.0365 0.8267 0.3730
Na2 0.0367 0.2102 0.8737
Hg1 0.9997 0.4016 0.7503
Bi1 0.0000 0.0000 0.0000
Bi2 0.0000 0.0000 0.5000
```

Results
calculated density = 4.8 g/cm3

***

(x)
A geometry-optimized Na6Hg3Bi structure, computed with PBE-GGA.

```
data_Na6Hg3Bi
_chemical_formula_sum 'Na12 Hg6 Bi2'
_cell_length_a 9.106
_cell_length_b 5.405
_cell_length_c 12.153
_cell_angle_alpha 90.00
_cell_angle_beta 111.74
_cell_angle_gamma 90.00
_symmetry_space_group_name_H-M 'P 1 21/m 1'
_symmetry_Int_Tables_number 11
loop_
_symmetry_equiv_pos_as_xyz
'x,y,z'
'-x,-y,-z'
'-x,y+1/2,-z'
'x,-y+1/2,z'
loop_
_atom_site_label
_atom_site_fract_x
_atom_site_fract_y
_atom_site_fract_z
Na1 0.003 0.250 0.167
Na2 0.150 0.750 0.606
Na3 0.198 0.250 0.975
Na4 0.380 0.750 0.424
Na5 0.394 0.250 0.779
Na6 0.407 0.250 0.261
Hg1 0.007 0.250 0.681
Hg2 0.225 0.250 0.469
Hg3 0.402 0.750 0.935
Bi1 0.209 0.750 0.141
```

Results
calculated density = 5.7 g/cm3

***

Ordering by calculated energy gives the sequence (x), (w), with the first entry being the most stable.

***

(w)
A geometry-optimized RbNaHg2Bi structure, computed with PBE-GGA.

```
data_RbNaHg2Bi
_chemical_formula_sum 'Rb2 Na2 Hg4 Bi2'
_cell_length_a 5.082
_cell_length_b 5.318
_cell_length_c 12.947
_cell_angle_alpha 90.00
_cell_angle_beta 90.00
_cell_angle_gamma 90.00
_symmetry_space_group_name_H-M 'I m m 2'
_symmetry_Int_Tables_number 44
loop_
_symmetry_equiv_pos_as_xyz
'x,y,z'
'-x,-y,z'
'-x,y,z'
'x,-y,z'
'x+1/2,y+1/2,z+1/2'
'-x+1/2,-y+1/2,z+1/2'
'-x+1/2,y+1/2,z+1/2'
'x+1/2,-y+1/2,z+1/2'
loop_
_atom_site_label
_atom_site_fract_x
_atom_site_fract_y
_atom_site_fract_z
Rb1 0.000 0.000 0.000
Na1 0.000 0.500 0.742
Hg1 0.000 0.000 0.384
Hg2 0.000 0.500 0.253
Bi1 0.000 0.000 0.617
```

Results
calculated density = 6.8 g/cm3

***

(x)
A geometry-optimized RbNaHg2Bi structure, computed with PBE-GGA.

```
data_RbNaHg2Bi
_chemical_formula_sum 'Rb1 Na1 Hg2 Bi1'
_cell_length_a 6.045
_cell_length_b 6.045
_cell_length_c 5.895
_cell_angle_alpha 90.00
_cell_angle_beta 90.00
_cell_angle_gamma 90.00
_symmetry_space_group_name_H-M 'P 4/m m m'
_symmetry_Int_Tables_number 123
_symmetry_space_group_name_Hall '-P 4 2'
loop_
_atom_site_label
_atom_site_fract_x
_atom_site_fract_y
_atom_site_fract_z
Rb1 0.000 0.000 0.000
Na1 0.500 0.500 0.000
Hg1 0.000 0.500 0.500
Bi1 0.500 0.500 0.500
```

Results
calculated density = 5.5 g/cm3

***

Ordering by calculated energy gives the sequence (w), (x), with the first entry being the most stable.

***

(w)
A geometry-optimized NaHgBiSb structure, computed with PBE-GGA.

```
data_NaHgBiSb
_chemical_formula_sum 'Na2 Hg2 Bi2 Sb2'
_cell_length_a 5.010
_cell_length_b 4.281
_cell_length_c 12.336
_cell_angle_alpha 90.00
_cell_angle_beta 90.00
_cell_angle_gamma 90.00
_symmetry_space_group_name_H-M 'A m m 2'
_symmetry_Int_Tables_number 38
loop_
_symmetry_equiv_pos_as_xyz
'x,y,z'
'-x,-y,z'
'-x,y,z'
'x,-y,z'
'x,y+1/2,z+1/2'
'-x,-y+1/2,z+1/2'
'-x,y+1/2,z+1/2'
'x,-y+1/2,z+1/2'
loop_
_atom_site_label
_atom_site_fract_x
_atom_site_fract_y
_atom_site_fract_z
Na1 0.000 0.000 0.000
Hg1 0.000 0.000 0.750
Bi1 0.500 0.000 0.205
Sb1 0.500 0.000 0.535
```

Results
calculated density = 7.0 g/cm3

***

(x)
A geometry-optimized NaHgBiSb structure, computed with PBE-GGA.

```
data_NaHgBiSb
_chemical_formula_sum 'Na4 Hg4 Bi4 Sb4'
_cell_length_a 7.702
_cell_length_b 7.702
_cell_length_c 7.702
_cell_angle_alpha 90.00
_cell_angle_beta 90.00
_cell_angle_gamma 90.00
_symmetry_space_group_name_H-M 'F -4 3 m'
_symmetry_Int_Tables_number 216
_symmetry_space_group_name_Hall 'F -4 2 3'
loop_
_atom_site_label
_atom_site_fract_x
_atom_site_fract_y
_atom_site_fract_z
Na1 0.000 0.000 0.000
Hg1 0.250 0.250 0.250
Bi1 0.000 0.000 0.500
Sb1 0.250 0.250 0.750
```

Results
calculated density = 8.1 g/cm3

***

Ordering by calculated energy gives the sequence (w), (x), with the first entry being the most stable.

***

(w)
A geometry-optimized NbHgBi structure, computed with PBE-GGA.

```
data_NbHgBi
_chemical_formula_sum 'Nb2 Hg2 Bi2'
_cell_length_a 5.699
_cell_length_b 3.388
_cell_length_c 7.845
_cell_angle_alpha 90.00
_cell_angle_beta 90.72
_cell_angle_gamma 90.00
_symmetry_space_group_name_H-M 'P 1 21/m 1'
_symmetry_Int_Tables_number 11
loop_
_symmetry_equiv_pos_as_xyz
'x,y,z'
'-x,-y,-z'
'-x,y+1/2,-z'
'x,-y+1/2,z'
loop_
_atom_site_label
_atom_site_fract_x
_atom_site_fract_y
_atom_site_fract_z
Nb1 0.167 0.250 0.072
Hg1 0.192 0.750 0.388
Bi1 0.322 0.750 0.781
```

Results
calculated density = 11.0 g/cm3

***

(x)
A geometry-optimized NbHgBi structure, computed with PBE-GGA.

```
data_NbHgBi
_chemical_formula_sum 'Nb2 Hg2 Bi2'
_cell_length_a 5.382
_cell_length_b 3.652
_cell_length_c 7.567
_cell_angle_alpha 90.00
_cell_angle_beta 99.35
_cell_angle_gamma 90.00
_symmetry_space_group_name_H-M 'P 1 21/m 1'
_symmetry_Int_Tables_number 11
loop_
_symmetry_equiv_pos_as_xyz
'x,y,z'
'-x,-y,-z'
'-x,y+1/2,-z'
'x,-y+1/2,z'
loop_
_atom_site_label
_atom_site_fract_x
_atom_site_fract_y
_atom_site_fract_z
Nb1 0.201 0.250 0.007
Hg1 0.190 0.750 0.320
Bi1 0.321 0.750 0.719
```

Results
calculated density = 11.4 g/cm3

***

(y)
A geometry-optimized NbHgBi structure, computed with PBE-GGA.

```
data_NbHgBi
_chemical_formula_sum 'Nb4 Hg4 Bi4'
_cell_length_a 11.242
_cell_length_b 3.337
_cell_length_c 8.197
_cell_angle_alpha 90.00
_cell_angle_beta 109.05
_cell_angle_gamma 90.00
_symmetry_space_group_name_H-M 'C 1 m 1'
_symmetry_Int_Tables_number 8
loop_
_symmetry_equiv_pos_as_xyz
'x,y,z'
'x,-y,z'
'x+1/2,y+1/2,z'
'x+1/2,-y+1/2,z'
loop_
_atom_site_label
_atom_site_fract_x
_atom_site_fract_y
_atom_site_fract_z
Nb1 0.000 0.000 0.000
Nb2 0.047 0.500 0.766
Hg1 0.187 0.500 0.251
Hg2 0.276 0.000 0.990
Bi1 0.299 0.500 0.653
Bi2 0.481 0.500 0.410
```

Results
calculated density = 11.5 g/cm3

***

Ordering by calculated energy gives the sequence (x), (w), (y), with the first entry being the most stable.